{
  "formula": "Cs3BaRh",
  "functional": "PBE",
  "state": "relaxed",
  "space_group": "No. 221",
  "crystal_system": "cubic",
  "lattice": [[7.003, 0.000, 0.000], [0.000, 7.003, 0.000], [0.000, 0.000, 7.003]],
  "species": ["Cs", "Cs", "Cs", "Ba", "Rh"],
  "fractional_positions": [[0.000, 0.000, 0.500], [0.000, 0.500, 0.000], [0.500, 0.000, 0.000], [0.000, 0.000, 0.000], [0.500, 0.500, 0.500]]
}

{
  "formula": "Cs2BaRh",
  "functional": "PBE",
  "state": "relaxed",
  "space_group": "No. 122",
  "crystal_system": "tetragonal",
  "lattice": [[-4.526, 4.526, 6.401], [4.526, -4.526, 6.401], [4.526, 4.526, -6.401]],
  "species": ["Cs", "Cs", "Cs", "Cs", "Ba", "Ba", "Rh", "Rh"],
  "fractional_positions": [[0.375, 0.130, 0.255], [0.870, 0.125, 0.245], [0.875, 0.120, 0.745], [0.880, 0.625, 0.755], [0.250, 0.750, 0.500], [0.500, 0.500, 0.000], [0.000, 0.000, 0.000], [0.750, 0.250, 0.500]]
}

D(E_F), record by record: 31.9; 6.0 states/eV per cell
Energy above the most stable polymorph in this dataset, record by record: 77.79; 0.00 kJ/mol of atoms
ΔH_f (0 K), record by record: 1.396; 0.683 eV/atom